Compound: Tb2Dy3Os
Source: OQMD
Functional: PBE
Structure: relaxed

Values from the calculation:
Size of the total moment (μB per formula unit): 0.012
Symmetry: No. 191
Total energy (eV/atom): -4.716

Cell: 5.7833 5.7833 5.9306 Å, 90.00 90.00 120.00°
Atoms (fractional coordinates):
Os (0.0000, 0.0000, 0.5000)
Tb (0.6667, 0.3333, 0.5003)
Tb (0.3333, 0.6667, 0.4997)
Dy (0.5000, 0.5000, 0.0000)
Dy (0.5000, 0.0000, 0.0000)
Dy (0.0000, 0.5000, 0.0000)